CsTlN2O GGA-PBE optimized geometry; total moment = 4.01 μB/cell; mass density = 6.181 g cm⁻³; E_tot = -3.859 eV/atom; space-group type = P4/mmm (123)
1.0
4.7794 0.0000 0.0000
0.0000 4.7794 0.0000
0.0000 0.0000 4.4844
Cs Tl N O
1 1 2 1
direct
0.0000 0.0000 0.0000
0.5000 0.5000 0.5000
0.0000 0.5000 0.5000
0.5000 0.0000 0.5000
0.5000 0.5000 0.0000